Entry 1:
{"formula": "Ac6HIr2Rh", "functional": "GGA-PBE", "state": "relaxed", "energy_ry_per_atom": -0.4299, "crystal_system": "triclinic", "lattice": [[-7.266, 1.243, 0.144], [-4.676, -5.210, -2.322], [-4.300, -3.907, 5.710]], "species": ["Ac", "Ir", "Rh", "Ac", "Ir", "Ac", "Ac", "H", "Ac", "Ac"], "fractional_positions": [[0.416, 0.748, 0.743], [0.002, 0.002, 0.993], [0.831, 0.830, 0.509], [0.585, 0.241, 0.251], [0.504, 0.504, 0.487], [0.093, 0.416, 0.743], [0.242, 0.923, 0.250], [0.318, 0.318, 0.046], [0.923, 0.585, 0.251], [0.747, 0.094, 0.743]]}

Entry 2:
{"formula": "Sm2MgZn6", "functional": "GGA-PBE", "state": "relaxed", "crystal_system": "trigonal", "e_form_kj_per_mol_fu": -237, "lattice": [[5.983, -0.001, 0.002], [0.002, 5.072, -2.924], [-0.002, -0.003, 5.855]], "species": ["Sm", "Mg", "Zn", "Zn", "Zn", "Zn", "Zn", "Zn", "Sm"], "fractional_positions": [[0.851, 0.667, 0.333], [0.000, 0.000, 0.000], [0.345, 0.820, 0.180], [0.345, 0.820, 0.640], [0.655, 0.180, 0.360], [0.655, 0.640, 0.820], [0.345, 0.360, 0.180], [0.655, 0.180, 0.820], [0.149, 0.333, 0.667]]}

Entry 3:
{"formula": "SrAc6Nd2", "functional": "GGA-PBE", "state": "relaxed", "crystal_system": "trigonal", "e_form_kj_per_mol_fu": 409, "lattice": [[-1.086, -5.827, -3.061], [3.326, 0.163, 5.781], [-10.718, -1.262, 6.203]], "species": ["Ac", "Ac", "Ac", "Ac", "Nd", "Ac", "Sr", "Ac", "Nd"], "fractional_positions": [[0.331, 0.331, 0.732], [0.669, 0.669, 0.268], [0.331, 0.000, 0.268], [0.669, 0.000, 0.732], [0.333, 0.667, 0.500], [0.000, 0.669, 0.732], [0.000, 0.000, 0.000], [0.000, 0.331, 0.268], [0.667, 0.333, 0.500]]}

Entry 4:
{"formula": "Rb2NaGeS4", "functional": "GGA-PBE", "state": "relaxed", "crystal_system": "tetragonal", "e_form_raw_ev_per_atom": -0.778, "lattice": [[7.312, 0.000, 0.000], [3.656, 5.670, 0.000], [3.656, 0.000, 5.670]], "species": ["S", "S", "Rb", "Na", "Rb", "S", "S", "Ge"], "fractional_positions": [[0.847, 0.000, 0.693], [0.153, 0.307, 0.000], [0.500, 0.500, 0.500], [0.000, 0.000, 0.000], [0.000, 0.500, 0.500], [0.459, 0.693, 0.000], [0.541, 0.000, 0.307], [0.500, 0.000, 0.000]]}

Entry 5:
{"formula": "HoHfGa6", "functional": "GGA-PBE", "state": "relaxed", "crystal_system": "tetragonal", "e_form_kj_per_mol_fu": -348, "lattice": [[-3.306, -1.079, -2.343], [-0.743, -3.250, 2.544], [-4.910, 4.812, 4.713]], "species": ["Ga", "Hf", "Ga", "Ho", "Ga", "Ga", "Ga", "Ga"], "fractional_positions": [[0.500, 0.500, 0.000], [0.000, 0.000, 0.500], [0.000, 0.500, 0.742], [0.000, 0.000, 0.000], [0.000, 0.500, 0.258], [0.500, 0.500, 0.500], [0.500, 0.000, 0.258], [0.500, 0.000, 0.742]]}

Entry 6:
{"formula": "Mn2SnP", "functional": "GGA-PBE", "state": "relaxed", "crystal_system": "cubic", "e_form_kj_per_mol_fu": 116, "lattice": [[-0.029, -1.860, 3.805], [-3.417, 0.312, 2.484], [-2.441, -3.394, 0.679]], "species": ["Mn", "Mn", "Sn", "P"], "fractional_positions": [[0.750, 0.750, 0.750], [0.250, 0.250, 0.250], [0.500, 0.500, 0.500], [0.000, 0.000, 0.000]]}

Entry 7:
{"formula": "TbPr2Sm6", "functional": "GGA-PBE", "state": "relaxed", "crystal_system": "monoclinic", "e_form_kj_per_mol_fu": 95, "lattice": [[5.674, 0.001, 2.040], [2.847, 6.345, 0.997], [0.124, -0.650, 8.567]], "species": ["Pr", "Sm", "Sm", "Tb", "Pr", "Sm", "Sm", "Sm", "Sm"], "fractional_positions": [[0.334, 0.616, 0.717], [0.998, 0.173, 0.833], [0.002, 0.827, 0.167], [0.000, 0.500, 0.500], [0.666, 0.384, 0.283], [0.672, 0.043, 0.614], [0.661, 0.724, 0.953], [0.339, 0.276, 0.047], [0.328, 0.957, 0.386]]}

Entry 8:
{"formula": "Rb2ScRu2", "functional": "GGA-PBE", "state": "relaxed", "crystal_system": "tetragonal", "e_form_kj_per_mol_fu": 778, "lattice": [[9.590, 0.000, 0.000], [0.000, 9.590, 0.000], [0.000, 0.000, 2.795]], "species": ["Ru", "Rb", "Rb", "Rb", "Ru", "Rb", "Ru", "Sc", "Sc", "Ru"], "fractional_positions": [[0.812, 0.312, 0.500], [0.116, 0.384, 0.000], [0.616, 0.116, 0.000], [0.384, 0.884, 0.000], [0.688, 0.812, 0.500], [0.884, 0.616, 0.000], [0.188, 0.688, 0.500], [0.500, 0.500, 0.000], [0.000, 0.000, 0.000], [0.312, 0.188, 0.500]]}

Across the entries above, DOS at the Fermi energy takes the values 0.644 0.343 1.571 0.936 0.520 0.737 2.026 1.228 states/eV per atom, respectively.